Entry 1:
Pr3Mg3TlIn2 | PBE-GGA | relaxed

a = 7.7541 Å, b = 7.7541 Å, c = 4.7796 Å
α = 90.00°, β = 90.00°, γ = 120.00°
Element x y z (fractional)
Pr (0.0000, 0.4279, 0.0000)
Pr (0.4279, 0.0000, 0.0000)
Pr (0.5721, 0.5721, 0.0000)
Mg (0.0000, 0.7572, 0.5000)
Mg (0.2428, 0.2428, 0.5000)
Mg (0.7572, 0.0000, 0.5000)
Tl (0.0000, 0.0000, 0.0000)
In (0.3333, 0.6667, 0.5000)
In (0.6667, 0.3333, 0.5000)

Values from the calculation:
Energy in eV/atom: -3.3805
SG: No. 189

=====

Entry 2:
KNd4ClO6 | PBE-GGA | relaxed

a = 6.8172 Å, b = 6.8172 Å, c = 8.7233 Å
α = 90.00°, β = 90.00°, γ = 120.00°
Element x y z (fractional)
K (0.0000, 0.0000, 0.0000)
Nd (0.3333, 0.6667, 0.2693)
Nd (0.3333, 0.6667, 0.7307)
Nd (0.6667, 0.3333, 0.2693)
Nd (0.6667, 0.3333, 0.7307)
Cl (0.0000, 0.0000, 0.5000)
O (0.0000, 0.5000, 0.1803)
O (0.0000, 0.5000, 0.8197)
O (0.5000, 0.0000, 0.1803)
O (0.5000, 0.0000, 0.8197)
O (0.5000, 0.5000, 0.1803)
O (0.5000, 0.5000, 0.8197)

Values from the calculation:
Energy in eV/atom: -6.5504
SG: No. 191

=====

no.,V (Å³ per cell)
1,248.9
2,351.1